Here is an optimized crystal structure of Rb2CrReF6 from the Alexandria database. Energies are from GGA+U.

abc: 6.1939 6.1939 8.9297
angles: 90.00 90.00 90.00
With the nearest neighbours (Å) after each atom.
Space group I4/mmm (No. 139)
Unique sites:
Rb: 0.0000 0.5000 0.2500 (multiplicity 4)  12 F 3.10-3.13
Cr: 0.0000 0.0000 0.0000 (multiplicity 2)  6 F 2.25-2.43
Re: 0.0000 0.0000 0.5000 (multiplicity 2)  6 F 2.03-2.13
F: 0.0000 0.0000 0.2724 (multiplicity 4)  1 Re 2.03
F: 0.2435 0.2435 0.5000 (multiplicity 8)  1 Re 2.13, 1 Cr 2.25

Summary:
Magnetization in μB/cell: 13.778
Raw total energy in eV per atom: -5.315
Calculated volume in Å³/cell: 343